LiPmTe2 (PBE, relaxed); formation energy (no corrections) = -1037 meV/atom; magnetization = 0.000 Bohr magnetons per cell; crystal system = tetragonal; ρ = 5.91 g cm⁻³; Fermi-level density of states = 0.385 states/eV per atom; total energy = -4.274 eV per atom
1.0
-2.899 -1.377 -2.130
2.535 -1.675 -2.367
-0.159 -6.373 4.339
Pm Li Te
1 1 2
Direct
0.500 0.500 0.000
0.500 0.500 0.500
0.000 0.000 0.756
0.000 0.000 0.244